Record 1
DFT (meta-GGA SCAN) results for a crystal of FeTcSe2N relaxed with PBEsol.

For the uncorrected formation energy, the calculation gives 0.45 eV/atom.

The structure belongs to space group P4/mmm (No. 123); the cell edges are 4.946, 4.946 and 3.629 Å and the angles 90.00°, 90.00° and 90.00°. The asymmetric unit holds Fe at (0.000, 0.000, 0.000), Tc at (0.500, 0.500, 0.500), Se at (0.000, 0.500, 0.500) and N at (0.500, 0.500, 0.000).

---

Record 2
DFT (meta-GGA SCAN) results for a crystal of MgZr2In relaxed with PBEsol.

Its formation energy is -0.19 eV per atom.

The structure belongs to space group Amm2 (No. 38); the cell edges are 4.500, 3.239 and 12.012 Å and the angles 90.00°, 90.00° and 90.00°. The asymmetric unit holds Mg at (0.000, 0.000, 0.000), Zr at (0.000, 0.000, 0.249), Zr at (0.500, 0.000, 0.613) and In at (0.500, 0.000, 0.865).

---

Record 3
DFT (meta-GGA SCAN) results for a crystal of SrAsWBr2 relaxed with PBEsol.

For the uncorrected formation energy, the calculation gives -0.27 eV/atom.

The structure belongs to space group P4/mmm (No. 123); the cell edges are 5.169, 5.169 and 4.885 Å and the angles 90.00°, 90.00° and 90.00°. The asymmetric unit holds Sr at (0.000, 0.000, 0.000), As at (0.500, 0.500, 0.000), W at (0.500, 0.500, 0.500) and Br at (0.000, 0.500, 0.500).

---

Record 4
DFT (meta-GGA SCAN) results for a crystal of Li4PCl relaxed with PBEsol.

For the uncorrected formation energy, the calculation gives -1.13 eV/atom.

The structure belongs to space group C2/m (No. 12); the cell edges are 13.614, 4.181 and 7.425 Å and the angles 90.00°, 103.23° and 90.00°. The asymmetric unit holds Li at (0.053, 0.000, 0.216), Li at (0.066, 0.500, 0.657), Li at (0.181, 0.500, 0.092), Li at (0.196, 0.000, 0.511), P at (0.117, 0.500, 0.363) and Cl at (0.137, 0.000, 0.893).

---

Record 5
DFT (meta-GGA SCAN) results for a crystal of BeBiPO2 relaxed with PBEsol.

For the uncorrected formation energy, the calculation gives -0.25 eV/atom.

The structure belongs to space group P4/mmm (No. 123); the cell edges are 3.758, 3.758 and 4.358 Å and the angles 90.00°, 90.00° and 90.00°. The asymmetric unit holds Be at (0.000, 0.000, 0.000), Bi at (0.500, 0.500, 0.500), P at (0.000, 0.000, 0.500) and O at (0.000, 0.500, 0.000).

---

Record 6
DFT (meta-GGA SCAN) results for a crystal of LiAg2F4 relaxed with PBEsol.

For the energy above the lowest structure with this stoichiometry, the calculation gives 0.0717 eV/atom. For the uncorrected formation energy, the calculation gives -1.65 eV/atom.

The structure belongs to space group Fd-3m (No. 227, origin choice 2); the cell edges are 9.121, 9.121 and 9.121 Å and the angles 90.00°, 90.00° and 90.00°. The asymmetric unit holds Li at (0.125, 0.125, 0.125), Ag at (0.000, 0.000, 0.500) and F at (0.004, 0.004, 0.246).

---

Record 7
DFT (meta-GGA SCAN) results for a crystal of CuGeS2I relaxed with PBEsol.

For the uncorrected formation energy, the calculation gives 0.59 eV/atom.

The structure belongs to space group P4/mmm (No. 123); the cell edges are 4.494, 4.494 and 6.040 Å and the angles 90.00°, 90.00° and 90.00°. The asymmetric unit holds Cu at (0.000, 0.000, 0.000), Ge at (0.500, 0.500, 0.500), S at (0.000, 0.500, 0.500) and I at (0.500, 0.500, 0.000).

---

Record 8
DFT (meta-GGA SCAN) results for a crystal of HfBe2SiS relaxed with PBEsol.

For the uncorrected formation energy, the calculation gives 1.20 eV/atom.

The structure belongs to space group P4/mmm (No. 123); the cell edges are 4.738, 4.738 and 4.675 Å and the angles 90.00°, 90.00° and 90.00°. The asymmetric unit holds Hf at (0.000, 0.000, 0.000), Be at (0.000, 0.500, 0.000), Si at (0.500, 0.500, 0.500) and S at (0.000, 0.000, 0.500).

---

| no. | spin magnetization (μB per formula unit) |
| --- | --- |
| 1 | 3.5 |
| 2 | 0.5 |
| 3 | 2.1 |
| 4 | 0.0 |
| 5 | 0.0 |
| 6 | 1.0 |
| 7 | 0.0 |
| 8 | 0.0 |